VASP calculation (PBE) on a relaxed structure of ZnPtAu.

Cell: 4.2281 4.2281 4.2083 Å, 89.76 120.14 120.30°
Closest atoms and distances in Å follow each position.
Atoms (fractional coordinates):
Au1 0.9432 0.9722 0.9154  4 Zn 2.58
Pt1 0.9455 0.4722 0.4178  4 Zn 2.58-2.59
Zn1 0.4446 0.2222 0.6668  4 Pt 2.58-2.59, 4 Au 2.58

Computed properties:
- ΔE_f: -0.1498 eV/atom
- Total magnetic moment: 0.000 μB per formula unit
- Density of states at the Fermi level: 0.64 states/eV/cell